# 1
PBE Sm4Rh2I, optimized geometry; E_form (uncorrected) = -70.8 kJ/mol of atoms
1.0
2.074 1.197 14.128
-2.074 1.197 14.128
0.000 -2.394 14.128
Sm Rh I
4 2 1
Cartesian
0.000 0.000 5.476
0.000 0.000 11.588
0.000 0.000 30.796
0.000 0.000 36.907
0.000 0.000 18.156
0.000 0.000 24.228
0.000 0.000 0.000

***

# 2
PBE Cs3AcEr2Te6, optimized geometry; E_form (uncorrected) = -135.5 kJ/mol of atoms
1.0
4.032 -6.985 0.000
4.032 6.985 0.000
-2.699 0.000 8.942
Cs Ac Er Te
3 1 2 6
Cartesian
0.000 0.000 0.000
4.032 2.260 0.000
4.032 -2.260 0.000
2.683 0.000 4.471
2.683 4.650 4.471
2.683 -4.650 4.471
1.257 2.469 2.748
-0.170 0.000 6.177
1.257 -2.469 2.748
4.108 2.469 6.194
5.536 0.000 2.765
4.108 -2.469 6.194

***

# 3
PBE TaHI2, optimized geometry; final energy = -19.02 eV per formula unit
1.0
6.341 -1.836 0.000
6.341 1.836 0.000
-0.215 0.000 8.607
Ta H I
2 2 4
Cartesian
0.000 0.000 0.000
8.640 0.000 0.763
5.788 0.000 8.033
10.672 0.000 0.452
2.348 0.000 7.320
2.951 0.000 2.889
6.257 0.000 2.149
11.681 0.000 5.925

***

# 4
PBE Fe5Ni, optimized geometry; relative energy among the computed polymorphs = 0.387 eV per atom
1.0
4.622 0.000 0.000
-2.311 4.003 0.000
0.000 0.000 3.997
Fe Ni
5 1
Cartesian
-1.156 2.001 0.000
0.000 2.669 1.999
2.311 0.000 0.000
1.156 2.001 0.000
2.311 1.334 1.999
0.000 0.000 1.999

***

# 5
PBE KBa2Na5, optimized geometry; final energy = -11.38 eV per formula unit
1.0
-3.135 3.135 9.757
3.135 -3.135 9.757
3.135 3.135 -9.757
K Ba Na
1 2 5
Cartesian
0.000 0.000 0.000
0.000 0.000 4.987
0.000 0.000 14.527
3.135 0.000 2.242
3.135 0.000 7.516
0.000 0.000 9.757
0.000 3.135 2.242
0.000 3.135 7.516

***

# 6
PBE ErSc2CdC, optimized geometry; final energy = -29.47 eV per formula unit
1.0
4.560 0.000 0.000
0.000 4.560 0.000
0.000 0.000 4.917
Er Sc Cd C
1 2 1 1
Cartesian
0.000 0.000 0.000
0.000 2.280 2.458
2.280 0.000 2.458
2.280 2.280 0.000
0.000 0.000 2.458